Record 1
# La3Sm3Er4 (GGA-PBE, optimized geometry)
data_La3Sm3Er4
_space_group_name_H-M_alt 'P 1'
_space_group_IT_number 1
_space_group_name_Hall 'P 1'
_cell_length_a 3.6616
_cell_length_b 9.7024
_cell_length_c 9.7024
_cell_angle_alpha 90.00
_cell_angle_beta 90.00
_cell_angle_gamma 90.00
loop_
_atom_site_label
_atom_site_fract_x
_atom_site_fract_y
_atom_site_fract_z
La1 0.0000 0.0000 0.0000
La2 0.5000 0.3282 0.8240
La3 0.5000 0.8240 0.3282
Sm1 0.0000 0.1516 0.4999
Sm2 0.0000 0.4999 0.1516
Sm3 0.0000 0.6496 0.6496
Er1 0.5000 0.2056 0.2056
Er2 0.5000 0.4469 0.4469
Er3 0.5000 0.6999 0.9439
Er4 0.5000 0.9439 0.6999
# Calculated total energy: -4.633 eV/atom
# DOS at the Fermi energy: 11.9 states/eV per cell
# Mass density: 7.40 g/cm³

=====

Record 2
# Zn4GaAg (GGA-PBE, optimized geometry)
data_Zn4GaAg
_space_group_name_H-M_alt 'P 1'
_space_group_IT_number 1
_space_group_name_Hall 'P 1'
_cell_length_a 7.2810
_cell_length_b 7.2810
_cell_length_c 5.3045
_cell_angle_alpha 92.65
_cell_angle_beta 92.65
_cell_angle_gamma 134.72
loop_
_atom_site_label
_atom_site_fract_x
_atom_site_fract_y
_atom_site_fract_z
Zn1 0.0762 0.4201 0.7546
Zn2 0.2451 0.2476 0.4931
Zn3 0.2476 0.2451 0.9931
Zn4 0.4201 0.0762 0.2546
Zn5 0.5799 0.9238 0.7454
Zn6 0.7524 0.7549 0.0069
Zn7 0.7549 0.7524 0.5069
Zn8 0.9238 0.5799 0.2454
Ga1 0.1564 0.8436 0.7500
Ga2 0.8436 0.1564 0.2500
Ag1 0.3485 0.6515 0.2500
Ag2 0.6515 0.3485 0.7500
# DOS at the Fermi energy: 3.0 states/eV per cell
# Energy relative to the lowest polymorph listed for this composition: 26 meV per atom
# Mass density: 7.35 g/cm³

=====

Record 3
# Li5IrO6 (GGA-PBE, optimized geometry)
data_Li5IrO6
_space_group_name_H-M_alt 'P 1'
_space_group_IT_number 1
_space_group_name_Hall 'P 1'
_cell_length_a 5.1089
_cell_length_b 5.1089
_cell_length_c 5.0681
_cell_angle_alpha 99.93
_cell_angle_beta 99.93
_cell_angle_gamma 119.92
loop_
_atom_site_label
_atom_site_fract_x
_atom_site_fract_y
_atom_site_fract_z
Li1 0.0000 0.0000 0.0000
Li2 0.1676 0.8324 0.5000
Li3 0.3228 0.6772 0.0000
Li4 0.6772 0.3228 0.0000
Li5 0.8324 0.1676 0.5000
Ir1 0.5000 0.5000 0.5000
O1 0.1114 0.4209 0.2629
O2 0.2710 0.2710 0.7311
O3 0.4209 0.1114 0.2629
O4 0.5791 0.8886 0.7371
O5 0.7290 0.7290 0.2689
O6 0.8886 0.5791 0.7371
# DOS at the Fermi energy: 5.0 states/eV per cell
# Formation energy from raw total energies: -1.522 eV per atom
# Mass density: 4.98 g/cm³

=====

Record 4
# La2CrAs4Rh3 (GGA-PBE, optimized geometry)
data_La2CrAs4Rh3
_space_group_name_H-M_alt 'P 1'
_space_group_IT_number 1
_space_group_name_Hall 'P 1'
_cell_length_a 4.3152
_cell_length_b 4.3152
_cell_length_c 10.2136
_cell_angle_alpha 90.00
_cell_angle_beta 90.00
_cell_angle_gamma 90.00
loop_
_atom_site_label
_atom_site_fract_x
_atom_site_fract_y
_atom_site_fract_z
La1 0.0000 0.5000 0.2422
La2 0.5000 0.0000 0.7578
Cr1 0.0000 0.0000 0.5000
As1 0.0000 0.0000 0.0000
As2 0.0000 0.5000 0.6352
As3 0.5000 0.0000 0.3648
As4 0.5000 0.5000 0.0000
Rh1 0.0000 0.5000 0.8803
Rh2 0.5000 0.0000 0.1197
Rh3 0.5000 0.5000 0.5000
# Calculated total energy: -6.906 eV/atom
# DOS at the Fermi energy: 4.8 states/eV per cell
# Mass density: 8.19 g/cm³

=====

Record 5
# PmTc4O12 (GGA-PBE, optimized geometry)
data_PmTc4O12
_space_group_name_H-M_alt 'P 1'
_space_group_IT_number 1
_space_group_name_Hall 'P 1'
_cell_length_a 6.6465
_cell_length_b 6.6465
_cell_length_c 6.6465
_cell_angle_alpha 109.47
_cell_angle_beta 109.47
_cell_angle_gamma 109.47
loop_
_atom_site_label
_atom_site_fract_x
_atom_site_fract_y
_atom_site_fract_z
Pm1 0.0000 0.0000 0.0000
Tc1 0.0000 0.0000 0.5000
Tc2 0.0000 0.5000 0.0000
Tc3 0.5000 0.0000 0.0000
Tc4 0.5000 0.5000 0.5000
O1 0.0012 0.2442 0.7571
O2 0.2429 0.4871 0.2442
O3 0.2429 0.9988 0.7558
O4 0.2442 0.2429 0.4871
O5 0.2442 0.7571 0.0012
O6 0.4871 0.2442 0.2429
O7 0.5129 0.7558 0.7571
O8 0.7558 0.2429 0.9988
O9 0.7558 0.7571 0.5129
O10 0.7571 0.0012 0.2442
O11 0.7571 0.5129 0.7558
O12 0.9988 0.7558 0.2429
# DOS at the Fermi energy: 12.3 states/eV per cell
# Formation energy from raw total energies: -1.640 eV per atom
# Mass density: 5.36 g/cm³

=====

Record 6
# AcLa6Hg2 (GGA-PBE, optimized geometry)
data_AcLa6Hg2
_space_group_name_H-M_alt 'P 1'
_space_group_IT_number 1
_space_group_name_Hall 'P 1'
_cell_length_a 5.1995
_cell_length_b 5.1995
_cell_length_c 11.8439
_cell_angle_alpha 90.00
_cell_angle_beta 90.00
_cell_angle_gamma 90.00
loop_
_atom_site_label
_atom_site_fract_x
_atom_site_fract_y
_atom_site_fract_z
Ac1 0.0000 0.0000 0.0000
La1 0.0000 0.0000 0.5000
La2 0.0000 0.5000 0.2790
La3 0.0000 0.5000 0.7210
La4 0.5000 0.0000 0.2790
La5 0.5000 0.0000 0.7210
La6 0.5000 0.5000 0.5000
Hg1 0.5000 0.5000 0.1170
Hg2 0.5000 0.5000 0.8830
# DOS at the Fermi energy: 16.0 states/eV per cell
# Energy relative to the lowest polymorph listed for this composition: 95 meV per atom
# Mass density: 7.58 g/cm³

=====

Record 7
# Rb12Hg3O5 (GGA-PBE, optimized geometry)
data_Rb12Hg3O5
_space_group_name_H-M_alt 'P 1'
_space_group_IT_number 1
_space_group_name_Hall 'P 1'
_cell_length_a 16.0749
_cell_length_b 16.0749
_cell_length_c 16.0749
_cell_angle_alpha 109.47
_cell_angle_beta 109.47
_cell_angle_gamma 109.47
loop_
_atom_site_label
_atom_site_fract_x
_atom_site_fract_y
_atom_site_fract_z
Rb1 0.0039 0.1879 0.1016
Rb2 0.0039 0.3160 0.9023
Rb3 0.0862 0.6879 0.6840
Rb4 0.0862 0.8984 0.4023
Rb5 0.0977 0.6016 0.4138
Rb6 0.0977 0.9961 0.6840
Rb7 0.1016 0.0039 0.1879
Rb8 0.1016 0.5977 0.9138
Rb9 0.1840 0.1879 0.5863
Rb10 0.1840 0.4961 0.5977
Rb11 0.1879 0.1016 0.0039
Rb12 0.1879 0.5863 0.1840
Rb13 0.3121 0.3160 0.9138
Rb14 0.3121 0.4961 0.3984
Rb15 0.3160 0.9023 0.0039
Rb16 0.3160 0.9138 0.3121
Rb17 0.3984 0.3121 0.4961
Rb18 0.3984 0.5863 0.9023
Rb19 0.4023 0.0862 0.8984
Rb20 0.4023 0.8160 0.5039
Rb21 0.4138 0.0977 0.6016
Rb22 0.4138 0.8160 0.8121
Rb23 0.4961 0.3984 0.3121
Rb24 0.4961 0.5977 0.1840
Rb25 0.5039 0.4023 0.8160
Rb26 0.5039 0.6016 0.6879
Rb27 0.5863 0.1840 0.1879
Rb28 0.5863 0.9023 0.3984
Rb29 0.5977 0.1840 0.4961
Rb30 0.5977 0.9138 0.1016
Rb31 0.6016 0.4138 0.0977
Rb32 0.6016 0.6879 0.5039
Rb33 0.6840 0.0862 0.6879
Rb34 0.6840 0.0977 0.9961
Rb35 0.6879 0.5039 0.6016
Rb36 0.6879 0.6840 0.0862
Rb37 0.8121 0.4138 0.8160
Rb38 0.8121 0.8984 0.9961
Rb39 0.8160 0.5039 0.4023
Rb40 0.8160 0.8121 0.4138
Rb41 0.8984 0.4023 0.0862
Rb42 0.8984 0.9961 0.8121
Rb43 0.9023 0.0039 0.3160
Rb44 0.9023 0.3984 0.5863
Rb45 0.9138 0.1016 0.5977
Rb46 0.9138 0.3121 0.3160
Rb47 0.9961 0.6840 0.0977
Rb48 0.9961 0.8121 0.8984
Hg1 0.1250 0.2500 0.3750
Hg2 0.1250 0.3750 0.7500
Hg3 0.2500 0.3750 0.1250
Hg4 0.2500 0.8750 0.6250
Hg5 0.3750 0.1250 0.2500
Hg6 0.3750 0.7500 0.1250
Hg7 0.6250 0.2500 0.8750
Hg8 0.6250 0.8750 0.7500
Hg9 0.7500 0.1250 0.3750
Hg10 0.7500 0.6250 0.8750
Hg11 0.8750 0.6250 0.2500
Hg12 0.8750 0.7500 0.6250
O1 0.0000 0.0000 0.0000
O2 0.0000 0.0000 0.5000
O3 0.0000 0.5000 0.0000
O4 0.0000 0.5000 0.5000
O5 0.1250 0.7500 0.8750
O6 0.1250 0.8750 0.2500
O7 0.2500 0.1250 0.8750
O8 0.2500 0.6250 0.3750
O9 0.3750 0.2500 0.6250
O10 0.3750 0.6250 0.7500
O11 0.5000 0.0000 0.0000
O12 0.5000 0.0000 0.5000
O13 0.5000 0.5000 0.0000
O14 0.5000 0.5000 0.5000
O15 0.6250 0.3750 0.2500
O16 0.6250 0.7500 0.3750
O17 0.7500 0.3750 0.6250
O18 0.7500 0.8750 0.1250
O19 0.8750 0.1250 0.7500
O20 0.8750 0.2500 0.1250
# DOS at the Fermi energy: 37.5 states/eV per cell
# Formation energy from raw total energies: -0.635 eV per atom
# Mass density: 3.55 g/cm³

=====

Record 8
# Co2Cu2Sn (GGA-PBE, optimized geometry)
data_Co2Cu2Sn
_space_group_name_H-M_alt 'P 1'
_space_group_IT_number 1
_space_group_name_Hall 'P 1'
_cell_length_a 6.5956
_cell_length_b 6.5956
_cell_length_c 6.5956
_cell_angle_alpha 149.47
_cell_angle_beta 149.47
_cell_angle_gamma 43.71
loop_
_atom_site_label
_atom_site_fract_x
_atom_site_fract_y
_atom_site_fract_z
Co1 0.2500 0.7500 0.5000
Co2 0.7500 0.2500 0.5000
Cu1 0.1042 0.1042 0.0000
Cu2 0.8958 0.8958 0.0000
Sn1 0.5000 0.5000 0.0000
# DOS at the Fermi energy: 5.2 states/eV per cell
# Energy relative to the lowest polymorph listed for this composition: 112 meV per atom
# Mass density: 8.18 g/cm³